No. 1
The following is a DFT calculation (PBE-GGA) of a geometry-optimized Nd2Sm8Y structure.

Output
DOS(E_F) (states/eV/atom): 1.591
Magnetic moment (μB per formula unit): 0.000
Formation energy (eV per atom): 0.15
Crystal system: monoclinic
Volume (Å³/atom): 34.60
Offset from the most stable computed form (meV/atom): 138.2

a b c (Å): 16.7816 6.8055 6.7765
angles (deg): 90.00 100.37 90.00
Space group C2/m (No. 12)
Unique sites:
1 Nd 0.1985 0.0000 0.3026 (multiplicity 4)
2 Sm 0.0881 0.2630 0.9059 (multiplicity 8)
3 Sm 0.0894 0.5000 0.4103 (multiplicity 4)
4 Sm 0.2437 0.0000 0.8102 (multiplicity 4)
5 Y 0.0000 0.0000 0.5000 (multiplicity 2)



No. 2
The following is a DFT calculation (PBE-GGA) of a geometry-optimized LaWCl structure.

Output
DOS(E_F) (states/eV/atom): 1.866
Magnetic moment (μB per formula unit): 2.939
Formation energy (no corrections) (eV/atom): 0.836
Crystal system: cubic
Volume (Å³/atom): 25.33
Offset from the most stable computed form (meV/atom): 538.0

a b c (Å): 6.7239 6.7239 6.7239
angles (deg): 90.00 90.00 90.00
Space group F-43m (No. 216)
Unique sites:
1 La 0.0000 0.0000 0.0000 (multiplicity 4)
2 W 0.0000 0.0000 0.5000 (multiplicity 4)
3 Cl 0.2500 0.2500 0.7500 (multiplicity 4)



No. 3
The following is a DFT calculation (PBE-GGA) of a geometry-optimized Cs5AuBr4 structure.

Output
DOS(E_F) (states/eV/atom): 0.000
Magnetic moment (μB per formula unit): 0.000
Formation energy (no corrections) (eV/atom): -1.494
Crystal system: tetragonal
Volume (Å³/atom): 50.42

a b c (Å): 5.2239 5.2239 36.9548
angles (deg): 90.00 90.00 90.00
Space group I4/mmm (No. 139)
Unique sites:
1 Cs 0.0000 0.0000 0.0000 (multiplicity 2)
2 Cs 0.0000 0.0000 0.2000 (multiplicity 4)
3 Cs 0.0000 0.0000 0.3995 (multiplicity 4)
4 Au 0.0000 0.0000 0.5000 (multiplicity 2)
5 Br 0.0000 0.0000 0.1001 (multiplicity 4)
6 Br 0.0000 0.0000 0.2999 (multiplicity 4)



> What is the formula in the third record?

Cs5AuBr4



> Which formula does entry 1 have?

Nd2Sm8Y



> DOS(E_F) of number 1 (Nd2Sm8Y)?

1.591 states/eV/atom